First-principles (PBE-GGA) data for an optimized crystal structure of RbZnSbBr2, as listed in Alexandria via LeMat-Bulk.

The raw total energy is -2.201 eV per atom. As for the formation energy without anion corrections: -0.26 eV/atom. Its theoretical density is 3.0 g/cm³. Its size of the total moment is 0.000 μB/f.u.

It has space group P4/mmm (No. 123), with a = 5.7877 Å, b = 5.7877 Å, c = 7.0535 Å, α = 90.00°, β = 90.00° and γ = 90.00°. Symmetry generates all atoms from Rb at (0.0000, 0.0000, 0.0000), Zn at (0.5000, 0.5000, 0.0000), Sb at (0.0000, 0.0000, 0.5000) and Br at (0.0000, 0.5000, 0.5000).

=====

First-principles (PBE-GGA) data for an optimized crystal structure of RbScBr3, as listed in Alexandria via LeMat-Bulk.

The raw total energy is -4.023 eV per atom. As for the formation energy without anion corrections: -1.56 eV/atom. Its theoretical density is 3.4 g/cm³. Its size of the total moment is 1.000 μB/f.u.

It has space group P-1 (No. 2), with a = 5.8261 Å, b = 6.6049 Å, c = 10.6538 Å, α = 105.99°, β = 94.71° and γ = 109.63°. Symmetry generates all atoms from Rb at (0.1061, 0.1952, 0.3388), Sc at (0.3797, 0.6411, 0.9414), Br at (0.1356, 0.3241, 0.0495), Br at (0.2001, 0.3793, 0.6793) and Br at (0.4900, 0.9986, 0.8282).

=====

First-principles (PBE-GGA) data for an optimized crystal structure of RbScBr3, as listed in Alexandria via LeMat-Bulk.

The raw total energy is -3.989 eV per atom. As for the formation energy without anion corrections: -1.53 eV/atom. Its theoretical density is 3.4 g/cm³. Its size of the total moment is 1.000 μB/f.u.

It has space group R-3 (No. 148, hexagonal axes), with a = 7.2890 Å, b = 7.2890 Å, c = 23.3838 Å, α = 90.00°, β = 90.00° and γ = 120.00°. Symmetry generates all atoms from Rb at (0.0000, 0.0000, 0.1522), Sc at (0.0000, 0.0000, 0.3342) and Br at (0.0020, 0.3750, 0.9318).